Entry 1:
DFT (PBE) results for a geometry-optimized SmDy2Ga6 structure.

The space group is Immm (No. 71) and the conventional cell measures 4.330, 7.064 and 13.261 Å, with angles of 90.00, 90.00 and 90.00 degrees. The distinct sites, in fractional coordinates, are Sm at (0.000, 0.000, 0.000), Dy at (0.000, 0.500, 0.127), Ga at (0.000, 0.185, 0.500) and Ga at (0.000, 0.307, 0.316).

Its polymorph energy (0 for the lowest one) is 0.170 eV/atom.

=====

Entry 2:
DFT (PBE) results for a geometry-optimized SmDy2Ga4 structure.

The space group is Immm (No. 71) and the conventional cell measures 4.151, 4.296 and 18.281 Å, with angles of 90.00, 90.00 and 90.00 degrees. The distinct sites, in fractional coordinates, are Sm at (0.000, 0.000, 0.000), Dy at (0.000, 0.500, 0.315), Ga at (0.000, 0.000, 0.433) and Ga at (0.000, 0.500, 0.147).

=====

Entry 3:
DFT (PBE) results for a geometry-optimized SmDy2Ga structure.

The space group is P4/mmm (No. 123) and the conventional cell measures 4.761, 4.761 and 4.730 Å, with angles of 90.00, 90.00 and 90.00 degrees. The distinct sites, in fractional coordinates, are Sm at (0.000, 0.000, 0.000), Dy at (0.000, 0.500, 0.500) and Ga at (0.500, 0.500, 0.000).

Its polymorph energy (0 for the lowest one) is 0.047 eV/atom.

=====

Entry 4:
DFT (PBE) results for a geometry-optimized SmDyGa4 structure.

The space group is F-43m (No. 216) and the conventional cell measures 7.846, 7.846 and 7.846 Å, with angles of 90.00, 90.00 and 90.00 degrees. The distinct sites, in fractional coordinates, are Sm at (0.000, 0.000, 0.000), Dy at (0.250, 0.250, 0.750) and Ga at (0.125, 0.125, 0.375).

Its polymorph energy (0 for the lowest one) is 0.105 eV/atom.

=====

Sequential E output: -4.044 -4.369 -4.473 -4.130 eV per atom
Sequential DOS at the Fermi energy output: 0.492 0.671 1.532 0.682 states/eV per atom